Here is TcBRu after structural relaxation from Alexandria via LeMat-Bulk. Energies are from PBE.

```
data_TcBRu
_symmetry_space_group_name_H-M 'P 1'
_symmetry_Int_Tables_number 1
_symmetry_space_group_name_Hall 'P 1'
_cell_length_a 9.326
_cell_length_b 3.657
_cell_length_c 4.148
_cell_angle_alpha 90.00
_cell_angle_beta 99.50
_cell_angle_gamma 90.00
loop_
_atom_site_label
_atom_site_type_symbol
_atom_site_fract_x
_atom_site_fract_y
_atom_site_fract_z
_atom_site_occupancy
Tc1 Tc 0.132 0.000 0.313 1
Tc2 Tc 0.368 0.500 0.687 1
Tc3 Tc 0.632 0.500 0.313 1
Tc4 Tc 0.868 0.000 0.687 1
B1 B 0.228 0.000 0.824 1
B2 B 0.272 0.500 0.176 1
B3 B 0.728 0.500 0.824 1
B4 B 0.772 0.000 0.176 1
Ru1 Ru 0.086 0.500 0.791 1
Ru2 Ru 0.414 0.000 0.209 1
Ru3 Ru 0.586 0.000 0.791 1
Ru4 Ru 0.914 0.500 0.209 1
```

Calculated values
DFT formation energy = -0.05 eV per atom
symmetry = C2/m, No. 12
relative energy among the computed polymorphs = 104 meV per atom
crystal system = monoclinic
electronic total energy = -8.83 eV/atom